Pr4CdPd: optimized geometry, GGA-PBE.

## Properties
SG: F-43m
Excess energy over the best structure of this formula in the dataset, meV per atom: 0
M_tot, μB per cell: 0.00
E_form, eV/atom: -0.386
V, Å³ per cell: 726.8

Lattice parameters (Å, degrees): 10.0920 10.0920 10.0920 60.00 60.00 60.00
Last column: nearest neighbours and their distance in Å.
Positions (direct):
1 Pr 0.3518 0.3518 0.3518  3 Pd 2.97
2 Pr 0.3518 0.3518 0.9445  3 Pd 2.97
3 Pr 0.3518 0.9445 0.3518  3 Pd 2.97
4 Pr 0.9445 0.3518 0.3518  3 Pd 2.97
5 Pr 0.8066 0.1934 0.1934  2 Pd 2.99
6 Pr 0.1934 0.8066 0.8066  2 Pd 2.99
7 Pr 0.1934 0.8066 0.1934  2 Pd 2.99
8 Pr 0.8066 0.1934 0.8066  2 Pd 2.99
9 Pr 0.1934 0.1934 0.8066  2 Pd 2.99
10 Pr 0.8066 0.8066 0.1934  2 Pd 2.99
11 Pr 0.9357 0.5643 0.5643  2 Cd 3.43, 2 Pd 3.66, 10 Pr 3.66-3.77
12 Pr 0.5643 0.9357 0.9357  2 Cd 3.43, 2 Pd 3.66, 10 Pr 3.66-3.77
13 Pr 0.5643 0.9357 0.5643  2 Cd 3.43, 2 Pd 3.66, 10 Pr 3.66-3.77
14 Pr 0.9357 0.5643 0.9357  2 Cd 3.43, 2 Pd 3.66, 10 Pr 3.66-3.77
15 Pr 0.5643 0.5643 0.9357  2 Cd 3.43, 2 Pd 3.66, 10 Pr 3.66-3.77
16 Pr 0.9357 0.9357 0.5643  2 Cd 3.43, 2 Pd 3.66, 10 Pr 3.66-3.77
17 Cd 0.5803 0.5803 0.5803  3 Cd 3.24, 9 Pr 3.43-3.61
18 Cd 0.5803 0.5803 0.2590  3 Cd 3.24, 9 Pr 3.43-3.61
19 Cd 0.5803 0.2590 0.5803  3 Cd 3.24, 9 Pr 3.43-3.61
20 Cd 0.2590 0.5803 0.5803  3 Cd 3.24, 9 Pr 3.43-3.61
21 Pd 0.1439 0.1439 0.1439  6 Pr 2.97-2.99
22 Pd 0.1439 0.1439 0.5684  6 Pr 2.97-2.99
23 Pd 0.1439 0.5684 0.1439  6 Pr 2.97-2.99
24 Pd 0.5684 0.1439 0.1439  6 Pr 2.97-2.99